1.
TbCo4P2 PBE relaxed; formation energy = -0.74 eV/atom; total energy = -7.012 eV per atom
1.0
3.5454 0.0000 0.0000
0.0000 7.0768 0.0000
0.0000 0.0000 7.0768
Tb Co P
2 8 4
Cartesian
1.7727 0.0000 0.0000
0.0000 3.5384 3.5384
0.0000 0.5689 2.4065
0.0000 6.5079 4.6703
1.7727 1.1319 4.1073
1.7727 5.9449 2.9695
1.7727 2.9695 5.9449
1.7727 4.1073 1.1319
0.0000 2.4065 0.5689
0.0000 4.6703 6.5079
0.0000 1.5856 5.4911
0.0000 5.4911 1.5856
1.7727 5.1240 5.1240
1.7727 1.9527 1.9527

***

2.
TbCo4P4 PBE relaxed; formation energy = -0.64 eV/atom; total energy = -6.713 eV per atom
1.0
5.6678 0.0000 0.0000
0.0000 5.6678 0.0000
0.0000 0.0000 7.3011
Tb Co P
2 8 8
Cartesian
0.0000 0.0000 0.0000
2.8339 2.8339 3.6506
1.2709 2.8339 6.4199
4.3969 2.8339 6.4199
2.8339 4.3969 0.8812
2.8339 1.2709 0.8812
0.0000 4.1048 2.7693
0.0000 1.5630 2.7693
1.5630 0.0000 4.5318
4.1048 0.0000 4.5318
2.8339 4.4437 5.9888
2.8339 1.2240 5.9888
4.4437 2.8339 1.3123
1.2240 2.8339 1.3123
1.6099 0.0000 2.3382
4.0579 0.0000 2.3382
0.0000 1.6099 4.9629
0.0000 4.0579 4.9629

***

3.
Tb2Co3P4 PBE relaxed; formation energy = -0.80 eV/atom; total energy = -6.598 eV per atom
1.0
-1.5737 -2.9474 -4.1169
3.1468 -2.0232 3.7573
-5.5032 0.7734 3.2083
Tb Co P
2 3 4
Cartesian
-0.5788 -2.9808 0.6968
-3.3513 -1.2163 2.1518
-0.7868 -1.4737 -2.0585
0.0000 0.0000 0.0000
1.5734 -1.0116 1.8787
-1.7756 -0.9131 4.8541
-4.9909 -1.5426 -0.5095
-2.1546 -3.2840 -2.0054
1.0608 -2.6545 3.3582

***

4.
TbCo3P2 PBE relaxed; formation energy = -0.93 eV/atom; total energy = -7.060 eV per atom; polymorph energy (0 for the lowest one) = 0.000 eV/atom
1.0
3.7021 0.0000 0.0000
0.0000 10.5332 0.0000
0.0000 0.0000 12.1926
Tb Co P
6 18 12
Cartesian
0.0000 5.2666 6.3626
1.8511 0.0000 5.8301
1.8511 8.6090 2.5089
1.8511 1.9242 2.5089
0.0000 7.1908 9.6837
0.0000 3.3424 9.6837
1.8511 5.2666 1.9316
0.0000 0.0000 10.2611
1.8511 5.2666 8.5778
0.0000 0.0000 3.6149
0.0000 5.2666 12.0267
1.8511 0.0000 0.1660
1.8511 3.5115 12.1322
1.8511 7.0218 12.1322
0.0000 1.7551 0.0604
0.0000 8.7781 0.0604
1.8511 3.1286 5.2488
1.8511 7.4046 5.2488
0.0000 2.1380 6.9438
0.0000 8.3952 6.9438
1.8511 9.2653 8.6571
1.8511 1.2679 8.6571
0.0000 6.5345 3.5355
0.0000 3.9987 3.5355
1.8511 5.2666 10.7697
0.0000 0.0000 1.4229
1.8511 5.2666 4.1815
0.0000 0.0000 8.0111
1.8511 3.2659 7.5080
1.8511 7.2673 7.5080
0.0000 2.0007 4.6846
0.0000 8.5326 4.6846
1.8511 8.9275 10.8957
1.8511 1.6057 10.8957
0.0000 6.8723 1.2969
0.0000 3.6609 1.2969

***

5.
TbThCo2P2 PBE relaxed; formation energy = -1.11 eV/atom; total energy = -7.290 eV per atom
1.0
-3.0483 1.4309 1.9718
-0.5153 -2.9148 -2.5427
1.2738 -5.2948 5.8116
Tb Th Co P
1 1 2 2
Cartesian
0.6369 -2.6474 2.9058
0.0000 0.0000 0.0000
-1.9019 -1.2733 1.8451
-0.3879 -5.5055 3.3955
-1.2691 -3.9038 4.7323
-1.0207 -2.8750 0.5083

***

6.
CoTc2P PBE relaxed; formation energy = -0.28 eV/atom; total energy = -8.597 eV per atom
1.0
-0.3525 2.2896 4.2906
1.3174 -2.4898 3.9801
1.4410 1.7428 -4.3200
P Co Tc
1 1 2
Cartesian
1.6334 -0.4263 2.0091
0.4479 -0.0929 3.8393
0.0243 -0.0051 0.2087
0.7827 1.9667 2.0290

***

7.
CoTc2P PBE relaxed; formation energy = 0.63 eV/atom; total energy = -7.684 eV per atom
1.0
5.3319 0.0000 0.0000
0.0000 5.3319 0.0000
2.6659 2.6659 5.0517
P Co Tc
2 2 4
Cartesian
2.6659 2.6659 0.0000
2.6659 5.3319 2.5259
0.0000 0.0000 0.0000
5.3319 2.6659 2.5259
4.0448 1.3330 1.2629
1.2871 3.9989 1.2629
3.9989 3.9531 3.7888
6.6649 6.7107 3.7888

***

8.
CoTc2P PBE relaxed; formation energy = -0.09 eV/atom; total energy = -8.399 eV per atom
1.0
-3.1154 2.9622 -2.5233
-2.0162 1.0576 -4.4344
-3.8571 -1.5905 -0.6333
Co P Tc
1 1 2
Cartesian
-6.7415 1.8220 -5.6932
-2.2472 0.6073 -1.8977
-5.0854 3.8178 -6.7297
-4.5405 1.4168 -4.0235

***

Question: formation energy of number 2 (TbCo4P4)?
Answer: -0.64 eV/atom

***

Copy entry 7 word for word.
CoTc2P PBE relaxed; formation energy = 0.63 eV/atom; total energy = -7.684 eV per atom
1.0
5.3319 0.0000 0.0000
0.0000 5.3319 0.0000
2.6659 2.6659 5.0517
P Co Tc
2 2 4
Cartesian
2.6659 2.6659 0.0000
2.6659 5.3319 2.5259
0.0000 0.0000 0.0000
5.3319 2.6659 2.5259
4.0448 1.3330 1.2629
1.2871 3.9989 1.2629
3.9989 3.9531 3.7888
6.6649 6.7107 3.7888

***

Question: What is the total energy in the seventh record?
Answer: -7.684 eV per atom

***

Question: Which formula does entry 3 have?
Answer: Tb2Co3P4